1.
Entry from Alexandria via LeMat-Bulk: crystalline Nb2CdI at its relaxed geometry (GGA-PBE). Values from VASP.

The structure in Quantum ESPRESSO input format:
```
&SYSTEM
  ibrav = 0, nat = 8, ntyp = 3
/
ATOMIC_SPECIES
Nb 92.91 Nb.upf
Cd 112.41 Cd.upf
I 126.90 I.upf
ATOMIC_POSITIONS crystal
Nb 0.1095 0.6250 0.9845
Nb 0.3750 0.3595 0.4845
Nb 0.6405 0.1250 0.0155
Nb 0.8750 0.8905 0.5155
Cd 0.0000 0.0000 0.0000
Cd 0.7500 0.2500 0.5000
I 0.2500 0.7500 0.5000
I 0.5000 0.5000 0.0000
CELL_PARAMETERS angstrom
-2.0976 2.0976 10.3218
2.0976 -2.0976 10.3218
2.0976 2.0976 -10.3218
```

Properties
total magnetization: 0.0 μB/cell
energy relative to the lowest polymorph listed for this composition: 90 meV per atom
energy relative to the elements, uncorrected: 0.76 eV per atom



2.
Entry from Alexandria via LeMat-Bulk: crystalline NbCd2I at its relaxed geometry (GGA-PBE). Values from VASP.

The structure in Quantum ESPRESSO input format:
```
&SYSTEM
  ibrav = 0, nat = 8, ntyp = 3
/
ATOMIC_SPECIES
Nb 92.91 Nb.upf
Cd 112.41 Cd.upf
I 126.90 I.upf
ATOMIC_POSITIONS crystal
Nb 0.0000 0.0000 0.0000
Nb 0.7500 0.2500 0.5000
Cd 0.0501 0.6250 0.9251
Cd 0.3750 0.3001 0.4251
Cd 0.6999 0.1250 0.0749
Cd 0.8750 0.9499 0.5749
I 0.2500 0.7500 0.5000
I 0.5000 0.5000 0.0000
CELL_PARAMETERS angstrom
-4.6245 4.6245 2.7063
4.6245 -4.6245 2.7063
4.6245 4.6245 -2.7063
```

Properties
total magnetization: 0.0 μB/cell
energy relative to the lowest polymorph listed for this composition: 0 meV per atom
energy relative to the elements, uncorrected: 0.65 eV per atom



3.
Entry from Alexandria via LeMat-Bulk: crystalline NbCdI2 at its relaxed geometry (GGA-PBE). Values from VASP.

The structure in Quantum ESPRESSO input format:
```
&SYSTEM
  ibrav = 0, nat = 8, ntyp = 3
/
ATOMIC_SPECIES
Nb 92.91 Nb.upf
Cd 112.41 Cd.upf
I 126.90 I.upf
ATOMIC_POSITIONS crystal
Nb 0.0000 0.0000 0.0000
Nb 0.7500 0.2500 0.5000
Cd 0.2500 0.7500 0.5000
Cd 0.5000 0.5000 0.0000
I 0.3750 0.0151 0.1401
I 0.7651 0.6250 0.6401
I 0.8750 0.2349 0.8599
I 0.9849 0.1250 0.3599
CELL_PARAMETERS angstrom
-5.0179 5.0179 2.9497
5.0179 -5.0179 2.9497
5.0179 5.0179 -2.9497
```

Properties
total magnetization: 5.0 μB/cell
energy relative to the lowest polymorph listed for this composition: 0 meV per atom
energy relative to the elements, uncorrected: 0.15 eV per atom



4.
Entry from Alexandria via LeMat-Bulk: crystalline NbCd2I at its relaxed geometry (GGA-PBE). Values from VASP.

The structure in Quantum ESPRESSO input format:
```
&SYSTEM
  ibrav = 0, nat = 4, ntyp = 3
/
ATOMIC_SPECIES
Nb 92.91 Nb.upf
Cd 112.41 Cd.upf
I 126.90 I.upf
ATOMIC_POSITIONS crystal
Nb 0.0000 0.0000 0.0000
Cd 0.2500 0.2500 0.2500
Cd 0.7500 0.7500 0.7500
I 0.5000 0.5000 0.5000
CELL_PARAMETERS angstrom
0.0000 3.7179 3.7179
3.7179 0.0000 3.7179
3.7179 3.7179 0.0000
```

Properties
total magnetization: 3.2 μB/cell
energy relative to the lowest polymorph listed for this composition: 253 meV per atom
energy relative to the elements, uncorrected: 0.90 eV per atom



5.
Entry from Alexandria via LeMat-Bulk: crystalline Nb2CdI at its relaxed geometry (GGA-PBE). Values from VASP.

The structure in Quantum ESPRESSO input format:
```
&SYSTEM
  ibrav = 0, nat = 4, ntyp = 3
/
ATOMIC_SPECIES
Nb 92.91 Nb.upf
Cd 112.41 Cd.upf
I 126.90 I.upf
ATOMIC_POSITIONS crystal
Nb 0.2500 0.2500 0.2500
Nb 0.7500 0.7500 0.7500
Cd 0.0000 0.0000 0.0000
I 0.5000 0.5000 0.5000
CELL_PARAMETERS angstrom
0.0000 3.4192 3.4192
3.4192 0.0000 3.4192
3.4192 3.4192 0.0000
```

Properties
total magnetization: 0.0 μB/cell
energy relative to the lowest polymorph listed for this composition: 0 meV per atom
energy relative to the elements, uncorrected: 0.67 eV per atom



6.
Entry from Alexandria via LeMat-Bulk: crystalline NbCdI at its relaxed geometry (GGA-PBE). Values from VASP.

The structure in Quantum ESPRESSO input format:
```
&SYSTEM
  ibrav = 0, nat = 6, ntyp = 3
/
ATOMIC_SPECIES
Nb 92.91 Nb.upf
Cd 112.41 Cd.upf
I 126.90 I.upf
ATOMIC_POSITIONS crystal
Nb 0.0000 0.0000 0.0000
Nb 0.3293 0.5000 0.0327
Cd 0.5434 0.0000 0.7757
Cd 0.9458 0.5000 0.6764
I 0.3045 0.0000 0.3409
I 0.7810 0.5000 0.2251
CELL_PARAMETERS angstrom
6.3920 0.0000 0.0000
0.0000 3.5227 0.0000
-1.0668 0.0000 7.1475
```

Properties
total magnetization: 0.0 μB/cell
energy relative to the lowest polymorph listed for this composition: 34 meV per atom
energy relative to the elements, uncorrected: 0.12 eV per atom



7.
Entry from Alexandria via LeMat-Bulk: crystalline NbCdI at its relaxed geometry (GGA-PBE). Values from VASP.

The structure in Quantum ESPRESSO input format:
```
&SYSTEM
  ibrav = 0, nat = 6, ntyp = 3
/
ATOMIC_SPECIES
Nb 92.91 Nb.upf
Cd 112.41 Cd.upf
I 126.90 I.upf
ATOMIC_POSITIONS crystal
Nb 0.0000 0.0000 0.0000
Nb 0.6656 0.6656 0.9607
Cd 0.0850 0.0850 0.6372
Cd 0.5785 0.5785 0.3200
I 0.3463 0.3463 0.7849
I 0.8284 0.8284 0.2537
CELL_PARAMETERS angstrom
6.1796 -1.7264 0.0000
6.1796 1.7264 0.0000
-0.6415 0.0000 7.4956
```

Properties
total magnetization: 0.0 μB/cell
energy relative to the lowest polymorph listed for this composition: 0 meV per atom
energy relative to the elements, uncorrected: 0.09 eV per atom



8.
Entry from Alexandria via LeMat-Bulk: crystalline NbCdI2 at its relaxed geometry (GGA-PBE). Values from VASP.

The structure in Quantum ESPRESSO input format:
```
&SYSTEM
  ibrav = 0, nat = 4, ntyp = 3
/
ATOMIC_SPECIES
Nb 92.91 Nb.upf
Cd 112.41 Cd.upf
I 126.90 I.upf
ATOMIC_POSITIONS crystal
Nb 0.0000 0.0000 0.0000
Cd 0.5000 0.5000 0.5000
I 0.2500 0.2500 0.2500
I 0.7500 0.7500 0.7500
CELL_PARAMETERS angstrom
0.0000 3.6640 3.6640
3.6640 0.0000 3.6640
3.6640 3.6640 0.0000
```

Properties
total magnetization: 0.0 μB/cell
energy relative to the lowest polymorph listed for this composition: 366 meV per atom
energy relative to the elements, uncorrected: 0.52 eV per atom